<i>
A plane-wave DFT calculation with GGA-PBE was carried out for a relaxed CaBiTe2N crystal.

Calculated values
volume: 148.0 Å³/f.u.

a b c (Å): 5.914 5.914 4.230
angles (deg): 90.00 90.00 90.00
Space group P4/mmm (No. 123)
Asymmetric unit:
Ca  0.000  0.000  0.000 [1 per cell]
Bi  0.500  0.500  0.500 [1 per cell]
Te  0.000  0.500  0.000 [2 per cell]
N  0.000  0.000  0.500 [1 per cell]



<ii>
A plane-wave DFT calculation with GGA-PBE was carried out for a relaxed CaBiTe2N crystal.

Calculated values
volume: 158.3 Å³/f.u.

a b c (Å): 5.984 5.984 4.422
angles (deg): 90.00 90.00 90.00
Space group P4/mmm (No. 123)
Asymmetric unit:
Ca  0.000  0.000  0.000 [1 per cell]
Bi  0.500  0.500  0.500 [1 per cell]
Te  0.000  0.500  0.500 [2 per cell]
N  0.500  0.500  0.000 [1 per cell]



Top of the stability list: <ii>, leading by 0.322 eV/atom.



<i>
A plane-wave DFT calculation with GGA-PBE was carried out for a relaxed NaCaBi2 crystal.

Calculated values
volume: 119.6 Å³/f.u.

a b c (Å): 5.081 5.081 4.634
angles (deg): 90.00 90.00 90.00
Space group P4/mmm (No. 123)
Asymmetric unit:
Na  0.000  0.000  0.000 [1 per cell]
Ca  0.500  0.500  0.000 [1 per cell]
Bi  0.000  0.500  0.500 [2 per cell]



<ii>
A plane-wave DFT calculation with GGA-PBE was carried out for a relaxed NaCaBi2 crystal.

Calculated values
volume: 138.0 Å³/f.u.

a b c (Å): 5.106 5.106 21.173
angles (deg): 90.00 90.00 90.00
Space group I-42d (No. 122)
Asymmetric unit:
Na  0.000  0.000  0.000 [4 per cell]
Ca  0.000  0.000  0.500 [4 per cell]
Bi  0.246  0.250  0.125 [8 per cell]



Top of the stability list: <i>, leading by 0.241 eV/atom.